[1]
Compound: KMoAu
Source: Alexandria via LeMat-Bulk
Functional: PBE-GGA
Structure: optimized geometry

Lattice parameters (Å, degrees): 9.4863 3.2046 9.5115 90.00 90.00 90.00
Space group Pnma (No. 62)
One atom of each set of equivalent atoms:
K1 0.0693 0.2500 0.1521 x4
Mo1 0.0829 0.2500 0.5361 x4
Au1 0.2370 0.2500 0.8575 x4

Results
V = 24.10 Å³ per atom
Final energy = -4.63 eV per atom
Crystal system = orthorhombic
Total magnetic moment = 0.00 μB per cell


[2]
Compound: K2MoAu
Source: Alexandria via LeMat-Bulk
Functional: PBE-GGA
Structure: optimized geometry

Lattice parameters (Å, degrees): 3.6613 3.6613 32.8814 90.00 90.00 120.00
Space group R-3m (No. 166, hexagonal axes)
One atom of each set of equivalent atoms:
K1 0.0000 0.0000 0.2400 x6
Mo1 0.0000 0.0000 0.0000 x3
Au1 0.0000 0.0000 0.5000 x3

Results
V = 31.81 Å³ per atom
Final energy = -2.98 eV per atom
Crystal system = trigonal
Total magnetic moment = 12.73 μB per cell


no.,energy above the most stable polymorph in this dataset (meV/atom)
1,0
2,440